[1]
# GGA-PBE PmNiSb, optimized geometry
# Excess energy over the best structure of this formula in the dataset in kJ/mol of formula units: 0
# Energy in eV/atom: -5.6893
data_PmNiSb
_symmetry_space_group_name_H-M 'F -4 3 m'
_symmetry_Int_Tables_number 216
_symmetry_space_group_name_Hall 'F -4 2 3'
_cell_length_a 6.4692
_cell_length_b 6.4692
_cell_length_c 6.4692
_cell_angle_alpha 90.00
_cell_angle_beta 90.00
_cell_angle_gamma 90.00
loop_
_atom_site_label
_atom_site_fract_x
_atom_site_fract_y
_atom_site_fract_z
_atom_site_occupancy
Pm1 0.0000 0.0000 0.0000 1
Ni1 0.2500 0.2500 0.2500 1
Sb1 0.0000 0.0000 0.5000 1


[2]
# GGA-PBE Li2Sc2InGePt2, optimized geometry
# Energy in eV/atom: -5.3285
data_Li2Sc2InGePt2
_symmetry_space_group_name_H-M 'P -4 m 2'
_symmetry_Int_Tables_number 115
_cell_length_a 4.5196
_cell_length_b 4.5196
_cell_length_c 6.4806
_cell_angle_alpha 90.00
_cell_angle_beta 90.00
_cell_angle_gamma 90.00
loop_
_symmetry_equiv_pos_as_xyz
'x,y,z'
'y,-x,-z'
'-x,-y,z'
'-y,x,-z'
'-x,y,z'
'-y,-x,-z'
'x,-y,z'
'y,x,-z'
loop_
_atom_site_label
_atom_site_fract_x
_atom_site_fract_y
_atom_site_fract_z
_atom_site_occupancy
Li1 0.0000 0.5000 0.2343 1
Sc1 0.0000 0.0000 0.0000 1
Sc2 0.5000 0.5000 0.5000 1
In1 0.0000 0.0000 0.5000 1
Ge1 0.5000 0.5000 0.0000 1
Pt1 0.0000 0.5000 0.7637 1


[3]
# GGA-PBE ZnGaMo2, optimized geometry
# Energy in eV/atom: -6.3525
data_ZnGaMo2
_symmetry_space_group_name_H-M 'F -4 3 m'
_symmetry_Int_Tables_number 216
_symmetry_space_group_name_Hall 'F -4 2 3'
_cell_length_a 6.2418
_cell_length_b 6.2418
_cell_length_c 6.2418
_cell_angle_alpha 90.00
_cell_angle_beta 90.00
_cell_angle_gamma 90.00
loop_
_atom_site_label
_atom_site_fract_x
_atom_site_fract_y
_atom_site_fract_z
_atom_site_occupancy
Zn1 0.0000 0.0000 0.0000 1
Ga1 0.2500 0.2500 0.7500 1
Mo1 0.0000 0.0000 0.5000 1
Mo2 0.2500 0.2500 0.2500 1


[4]
# GGA-PBE Li2CuAgTe2, optimized geometry
# Excess energy over the best structure of this formula in the dataset in kJ/mol of formula units: 0
# Energy in eV/atom: -3.3173
data_Li2CuAgTe2
_symmetry_space_group_name_H-M 'P 1 m 1'
_symmetry_Int_Tables_number 6
_cell_length_a 14.7713
_cell_length_b 4.4213
_cell_length_c 15.6178
_cell_angle_alpha 90.00
_cell_angle_beta 98.78
_cell_angle_gamma 90.00
loop_
_symmetry_equiv_pos_as_xyz
'x,y,z'
'x,-y,z'
loop_
_atom_site_label
_atom_site_fract_x
_atom_site_fract_y
_atom_site_fract_z
_atom_site_occupancy
Li1 0.0000 0.0000 0.0000 1
Li2 0.9995 0.0000 0.4983 1
Li3 0.0074 0.5000 0.2619 1
Li4 0.0169 0.5000 0.7662 1
Li5 0.2500 0.0000 0.3793 1
Li6 0.2599 0.5000 0.1398 1
Li7 0.2618 0.0000 0.8874 1
Li8 0.2618 0.5000 0.6440 1
Li9 0.5045 0.5000 0.5087 1
Li10 0.5058 0.5000 0.0042 1
Li11 0.5160 0.0000 0.7695 1
Li12 0.5174 0.0000 0.2605 1
Li13 0.7525 0.0000 0.1265 1
Li14 0.7567 0.5000 0.3810 1
Li15 0.7578 0.5000 0.8873 1
Li16 0.7648 0.0000 0.6460 1
Cu1 0.1894 0.5000 0.2902 1
Cu2 0.2012 0.5000 0.7988 1
Cu3 0.4471 0.0000 0.9162 1
Cu4 0.6908 0.5000 0.0374 1
Cu5 0.6993 0.0000 0.7993 1
Cu6 0.7004 0.0000 0.2869 1
Cu7 0.9405 0.5000 0.9116 1
Cu8 0.9413 0.5000 0.4107 1
Ag1 0.1913 0.0000 0.0411 1
Ag2 0.1906 0.0000 0.5415 1
Ag3 0.4419 0.0000 0.4117 1
Ag4 0.4514 0.5000 0.1657 1
Ag5 0.4519 0.5000 0.6740 1
Ag6 0.6968 0.5000 0.5431 1
Ag7 0.9417 0.0000 0.1626 1
Ag8 0.9543 0.0000 0.6684 1
Te1 0.1232 0.5000 0.4382 1
Te2 0.1225 0.5000 0.9402 1
Te3 0.1338 0.0000 0.2036 1
Te4 0.1460 0.0000 0.7109 1
Te5 0.3697 0.5000 0.3165 1
Te6 0.3834 0.5000 0.8325 1
Te7 0.3842 0.0000 0.5740 1
Te8 0.3847 0.0000 0.0645 1
Te9 0.6305 0.0000 0.9482 1
Te10 0.6340 0.0000 0.4367 1
Te11 0.6441 0.5000 0.1967 1
Te12 0.6439 0.5000 0.7100 1
Te13 0.8736 0.5000 0.0602 1
Te14 0.8800 0.0000 0.3253 1
Te15 0.8804 0.0000 0.8264 1
Te16 0.8895 0.5000 0.5654 1


[5]
# GGA-PBE CdTePtO, optimized geometry
# Excess energy over the best structure of this formula in the dataset in kJ/mol of formula units: 88
# Energy in eV/atom: -4.0312
data_CdTePtO
_symmetry_space_group_name_H-M 'P c a 21'
_symmetry_Int_Tables_number 29
_cell_length_a 7.2891
_cell_length_b 8.4207
_cell_length_c 5.4447
_cell_angle_alpha 90.00
_cell_angle_beta 90.00
_cell_angle_gamma 90.00
loop_
_symmetry_equiv_pos_as_xyz
'x,y,z'
'-x,-y,z+1/2'
'-x+1/2,y,z+1/2'
'x+1/2,-y,z'
loop_
_atom_site_label
_atom_site_fract_x
_atom_site_fract_y
_atom_site_fract_z
_atom_site_occupancy
Cd1 0.0820 0.1246 0.0000 1
Te1 0.0161 0.4271 0.6549 1
Pt1 0.2217 0.7919 0.1646 1
O1 0.1614 0.0183 0.6445 1


[6]
# GGA-PBE ZnFeSiTc, optimized geometry
# Excess energy over the best structure of this formula in the dataset in kJ/mol of formula units: 0
# Energy in eV/atom: -6.4278
data_ZnFeSiTc
_symmetry_space_group_name_H-M 'F -4 3 m'
_symmetry_Int_Tables_number 216
_symmetry_space_group_name_Hall 'F -4 2 3'
_cell_length_a 5.8704
_cell_length_b 5.8704
_cell_length_c 5.8704
_cell_angle_alpha 90.00
_cell_angle_beta 90.00
_cell_angle_gamma 90.00
loop_
_atom_site_label
_atom_site_fract_x
_atom_site_fract_y
_atom_site_fract_z
_atom_site_occupancy
Zn1 0.0000 0.0000 0.0000 1
Fe1 0.2500 0.2500 0.7500 1
Si1 0.0000 0.0000 0.5000 1
Tc1 0.2500 0.2500 0.2500 1


[7]
# GGA-PBE Li2ZnCdIn2Pd2, optimized geometry
# Energy in eV/atom: -3.1819
data_Li2ZnCdIn2Pd2
_symmetry_space_group_name_H-M 'P -4 m 2'
_symmetry_Int_Tables_number 115
_cell_length_a 4.5683
_cell_length_b 4.5683
_cell_length_c 6.4621
_cell_angle_alpha 90.00
_cell_angle_beta 90.00
_cell_angle_gamma 90.00
loop_
_symmetry_equiv_pos_as_xyz
'x,y,z'
'y,-x,-z'
'-x,-y,z'
'-y,x,-z'
'-x,y,z'
'-y,-x,-z'
'x,-y,z'
'y,x,-z'
loop_
_atom_site_label
_atom_site_fract_x
_atom_site_fract_y
_atom_site_fract_z
_atom_site_occupancy
Li1 0.0000 0.5000 0.2423 1
Zn1 0.5000 0.5000 0.0000 1
Cd1 0.0000 0.0000 0.5000 1
In1 0.0000 0.0000 0.0000 1
In2 0.5000 0.5000 0.5000 1
Pd1 0.0000 0.5000 0.7647 1


[8]
# GGA-PBE KNdNO, optimized geometry
# Excess energy over the best structure of this formula in the dataset in kJ/mol of formula units: 40
# Energy in eV/atom: -5.8344
data_KNdNO
_symmetry_space_group_name_H-M 'P 4/n m m'
_symmetry_Int_Tables_number 129
_cell_length_a 5.3292
_cell_length_b 5.3292
_cell_length_c 4.8805
_cell_angle_alpha 90.00
_cell_angle_beta 90.00
_cell_angle_gamma 90.00
loop_
_symmetry_equiv_pos_as_xyz
'x,y,z'
'-x,-y,-z'
'-y+1/2,x,z'
'y+1/2,-x,-z'
'-x+1/2,-y+1/2,z'
'x+1/2,y+1/2,-z'
'y,-x+1/2,z'
'-y,x+1/2,-z'
'x+1/2,-y,-z'
'-x+1/2,y,z'
'-y,-x,-z'
'y,x,z'
'-x,y+1/2,-z'
'x,-y+1/2,z'
'y+1/2,x+1/2,-z'
'-y+1/2,-x+1/2,z'
loop_
_atom_site_label
_atom_site_fract_x
_atom_site_fract_y
_atom_site_fract_z
_atom_site_occupancy
K1 0.2500 0.2500 0.0006 1
Nd1 0.2500 0.7500 0.5000 1
N1 0.2500 0.2500 0.5009 1
O1 0.2500 0.7500 0.0000 1